{
  "formula": "CePa2N",
  "functional": "PBE",
  "state": "relaxed",
  "e_form_raw_ev_per_atom": -0.150,
  "mass_density_g_cm3": 13.5,
  "dft_energy_ev_per_atom": -8.46,
  "dos_ef_per_ev_cell": 28.115,
  "cell": [[3.841, 0.000, 0.000], [-1.921, 3.326, 0.000], [0.000, 0.000, 17.800]],
  "species": ["Ce", "Ce", "Ce", "Pa", "Pa", "Pa", "Pa", "Pa", "Pa", "N", "N", "N"],
  "fractional_positions": [[0.000, 0.000, 0.000], [0.333, 0.667, 0.667], [0.667, 0.333, 0.333], [0.000, 0.000, 0.232], [0.000, 0.000, 0.768], [0.333, 0.667, 0.435], [0.333, 0.667, 0.899], [0.667, 0.333, 0.101], [0.667, 0.333, 0.565], [0.000, 0.000, 0.500], [0.333, 0.667, 0.167], [0.667, 0.333, 0.833]]
}

***

{
  "formula": "Ce4PaN4",
  "functional": "PBE",
  "state": "relaxed",
  "e_form_raw_ev_per_atom": -1.354,
  "mass_density_g_cm3": 9.0,
  "dft_energy_ev_per_atom": -8.75,
  "dos_ef_per_ev_cell": 9.836,
  "cell": [[5.876, -1.766, 0.000], [5.876, 1.766, 0.000], [-4.312, 0.000, 7.519]],
  "species": ["Ce", "Ce", "Ce", "Ce", "Pa", "N", "N", "N", "N"],
  "fractional_positions": [[0.105, 0.105, 0.402], [0.300, 0.300, 0.198], [0.700, 0.700, 0.802], [0.895, 0.895, 0.598], [0.500, 0.500, 0.000], [0.093, 0.093, 0.909], [0.309, 0.309, 0.710], [0.691, 0.691, 0.290], [0.907, 0.907, 0.091]]
}

***

{
  "formula": "Ce4PaN7",
  "functional": "PBE",
  "state": "relaxed",
  "e_form_raw_ev_per_atom": -1.375,
  "mass_density_g_cm3": 7.9,
  "dft_energy_ev_per_atom": -9.00,
  "cell": [[5.779, -1.747, 0.000], [5.779, 1.747, 0.000], [-2.971, 0.000, 9.295]],
  "species": ["Ce", "Ce", "Ce", "Ce", "Pa", "N", "N", "N", "N", "N", "N", "N"],
  "fractional_positions": [[0.000, 0.000, 0.000], [0.197, 0.197, 0.769], [0.572, 0.572, 0.401], [0.884, 0.884, 0.584], [0.777, 0.777, 0.164], [0.167, 0.167, 0.210], [0.231, 0.231, 0.545], [0.382, 0.382, 0.093], [0.534, 0.534, 0.622], [0.619, 0.619, 0.959], [0.830, 0.830, 0.796], [0.939, 0.939, 0.371]]
}

***

{
  "formula": "Ce3Pa4N8",
  "functional": "PBE",
  "state": "relaxed",
  "e_form_raw_ev_per_atom": -1.428,
  "mass_density_g_cm3": 9.8,
  "dft_energy_ev_per_atom": -9.59,
  "dos_ef_per_ev_cell": 18.645,
  "cell": [[4.960, -4.991, 0.000], [4.960, 4.991, 0.000], [-4.920, 0.000, 5.001]],
  "species": ["Ce", "Ce", "Ce", "Pa", "Pa", "Pa", "Pa", "N", "N", "N", "N", "N", "N", "N", "N"],
  "fractional_positions": [[0.000, 0.000, 0.000], [0.000, 0.500, 0.000], [0.500, 0.000, 0.000], [0.000, 0.000, 0.500], [0.000, 0.500, 0.500], [0.500, 0.000, 0.500], [0.500, 0.500, 0.000], [0.233, 0.767, 0.500], [0.243, 0.243, 0.956], [0.245, 0.245, 0.519], [0.258, 0.742, 0.000], [0.742, 0.258, 0.000], [0.755, 0.755, 0.481], [0.757, 0.757, 0.044], [0.767, 0.233, 0.500]]
}

***

{
  "formula": "CePa2N4",
  "functional": "PBE",
  "state": "relaxed",
  "e_form_raw_ev_per_atom": -1.572,
  "mass_density_g_cm3": 10.1,
  "dft_energy_ev_per_atom": -9.89,
  "dos_ef_per_ev_cell": 15.416,
  "cell": [[1.733, -5.779, 0.000], [1.733, 5.779, 0.000], [0.000, 0.000, 10.832]],
  "species": ["Ce", "Ce", "Pa", "Pa", "Pa", "Pa", "N", "N", "N", "N", "N", "N", "N", "N"],
  "fractional_positions": [[0.111, 0.889, 0.750], [0.889, 0.111, 0.250], [0.369, 0.631, 0.571], [0.369, 0.631, 0.929], [0.631, 0.369, 0.071], [0.631, 0.369, 0.429], [0.000, 0.000, 0.000], [0.000, 0.000, 0.500], [0.271, 0.729, 0.106], [0.271, 0.729, 0.394], [0.467, 0.533, 0.750], [0.533, 0.467, 0.250], [0.729, 0.271, 0.606], [0.729, 0.271, 0.894]]
}

***

{
  "formula": "Ce2Pa3N4",
  "functional": "PBE",
  "state": "relaxed",
  "e_form_raw_ev_per_atom": -1.370,
  "mass_density_g_cm3": 11.2,
  "dft_energy_ev_per_atom": -9.55,
  "dos_ef_per_ev_cell": 6.876,
  "cell": [[5.834, -1.739, 0.000], [5.834, 1.739, 0.000], [-4.225, 0.000, 7.508]],
  "species": ["Ce", "Ce", "Pa", "Pa", "Pa", "N", "N", "N", "N"],
  "fractional_positions": [[0.103, 0.103, 0.399], [0.897, 0.897, 0.601], [0.300, 0.300, 0.199], [0.500, 0.500, 0.000], [0.700, 0.700, 0.801], [0.106, 0.106, 0.910], [0.299, 0.299, 0.712], [0.701, 0.701, 0.288], [0.894, 0.894, 0.090]]
}

***

{
  "formula": "Ce3PaN",
  "functional": "PBE",
  "state": "relaxed",
  "e_form_raw_ev_per_atom": -0.444,
  "mass_density_g_cm3": 9.7,
  "dft_energy_ev_per_atom": -7.57,
  "dos_ef_per_ev_cell": 8.773,
  "cell": [[4.853, 0.000, 0.000], [0.000, 4.853, 0.000], [0.000, 0.000, 4.853]],
  "species": ["Ce", "Ce", "Ce", "Pa", "N"],
  "fractional_positions": [[0.000, 0.000, 0.500], [0.000, 0.500, 0.000], [0.500, 0.000, 0.000], [0.500, 0.500, 0.500], [0.000, 0.000, 0.000]]
}

***

{
  "formula": "CePaN2",
  "functional": "PBE",
  "state": "relaxed",
  "e_form_raw_ev_per_atom": -0.885,
  "mass_density_g_cm3": 11.9,
  "dft_energy_ev_per_atom": -8.91,
  "dos_ef_per_ev_cell": 5.247,
  "cell": [[3.025, 0.000, 0.000], [0.000, 3.025, 0.000], [0.000, 0.000, 6.086]],
  "species": ["Ce", "Pa", "N", "N"],
  "fractional_positions": [[0.000, 0.000, 0.000], [0.000, 0.000, 0.500], [0.500, 0.500, 0.266], [0.500, 0.500, 0.734]]
}